(1)
DFT (PBE-GGA) results for a geometry-optimized SnAu2S structure.

total energy = -57.782 eV for the cell shown
space group = I-42d
calculated density = 9.0 g cm⁻³
raw formation energy = 0.060 eV per atom

```
SnAu2S
1.0
6.511 0.000 0.000
0.000 6.511 0.000
0.000 0.000 9.507
Sn Au S
4 8 4
Direct
0.000 0.000 0.000
0.000 0.500 0.250
0.500 0.000 0.750
0.500 0.500 0.500
0.219 0.250 0.625
0.250 0.719 0.875
0.250 0.781 0.375
0.281 0.250 0.125
0.719 0.750 0.125
0.750 0.219 0.375
0.750 0.281 0.875
0.781 0.750 0.625
0.000 0.000 0.500
0.000 0.500 0.750
0.500 0.000 0.250
0.500 0.500 0.000
```



(2)
DFT (PBE-GGA) results for a geometry-optimized LiTaRe2 structure.

polymorph energy (0 for the lowest one) = 41 meV per atom
total energy = -152.356 eV for the cell shown
space group = F-43m
calculated density = 15.5 g cm⁻³
energy of formation = 0.6 eV per formula unit

```
LiTaRe2
1.0
6.222 0.000 0.000
0.000 6.222 0.000
0.000 0.000 6.222
Li Ta Re
4 4 8
Direct
0.000 0.000 0.000
0.000 0.500 0.500
0.500 0.000 0.500
0.500 0.500 0.000
0.250 0.250 0.250
0.250 0.750 0.750
0.750 0.250 0.750
0.750 0.750 0.250
0.000 0.000 0.500
0.000 0.500 0.000
0.250 0.250 0.750
0.250 0.750 0.250
0.500 0.000 0.000
0.500 0.500 0.500
0.750 0.250 0.250
0.750 0.750 0.750
```



(3)
DFT (PBE-GGA) results for a geometry-optimized MgTaOs2 structure.

total energy = -34.572 eV for the cell shown
space group = P4mm
calculated density = 15.1 g cm⁻³
energy of formation = 1.3 eV per formula unit

```
MgTaOs2
1.0
3.365 0.000 0.000
0.000 3.365 0.000
0.000 0.000 5.688
Mg Ta Os
1 1 2
Direct
0.000 0.000 0.000
0.500 0.500 0.713
0.000 0.000 0.502
0.500 0.500 0.194
```



(4)
DFT (PBE-GGA) results for a geometry-optimized GaHg2I structure.

polymorph energy (0 for the lowest one) = 108 meV per atom
total energy = -21.444 eV for the cell shown
space group = I-42d
calculated density = 6.4 g cm⁻³
raw formation energy = -0.045 eV per atom

```
GaHg2I
1.0
7.193 0.000 0.000
0.000 7.193 0.000
0.000 0.000 12.009
Ga Hg I
4 8 4
Direct
0.000 0.000 0.000
0.000 0.500 0.250
0.500 0.000 0.750
0.500 0.500 0.500
0.190 0.250 0.125
0.250 0.690 0.375
0.250 0.810 0.875
0.310 0.250 0.625
0.690 0.750 0.625
0.750 0.190 0.875
0.750 0.310 0.375
0.810 0.750 0.125
0.000 0.000 0.500
0.000 0.500 0.750
0.500 0.000 0.250
0.500 0.500 0.000
```



(5)
DFT (PBE-GGA) results for a geometry-optimized NaLiSnF6 structure.

total energy = -85.937 eV for the cell shown
space group = P-31c
calculated density = 3.5 g cm⁻³
raw formation energy = -2.723 eV per atom

```
NaLiSnF6
1.0
5.361 0.000 0.000
-2.681 4.643 0.000
0.000 0.000 9.910
Na Li Sn F
2 2 2 12
Direct
0.000 0.000 0.000
0.000 0.000 0.500
0.333 0.667 0.250
0.667 0.333 0.750
0.333 0.667 0.750
0.667 0.333 0.250
0.010 0.364 0.639
0.010 0.646 0.861
0.354 0.364 0.861
0.354 0.990 0.639
0.364 0.010 0.139
0.364 0.354 0.361
0.636 0.646 0.639
0.636 0.990 0.861
0.646 0.010 0.361
0.646 0.636 0.139
0.990 0.354 0.139
0.990 0.636 0.361
```



(6)
DFT (PBE-GGA) results for a geometry-optimized LiMg3Al12 structure.

total energy = -51.936 eV for the cell shown
space group = P4/mmm
calculated density = 2.4 g cm⁻³
energy of formation = -0.3 eV per formula unit

```
LiMg3Al12
1.0
4.143 0.000 0.000
0.000 4.143 0.000
0.000 0.000 16.201
Li Mg Al
1 3 12
Direct
0.000 0.000 0.000
0.000 0.000 0.246
0.000 0.000 0.500
0.000 0.000 0.754
0.000 0.500 0.120
0.000 0.500 0.373
0.000 0.500 0.627
0.000 0.500 0.880
0.500 0.000 0.120
0.500 0.000 0.373
0.500 0.000 0.627
0.500 0.000 0.880
0.500 0.500 0.000
0.500 0.500 0.248
0.500 0.500 0.500
0.500 0.500 0.752
```



(7)
DFT (PBE-GGA) results for a geometry-optimized Al2CdSe structure.

polymorph energy (0 for the lowest one) = 141 meV per atom
total energy = -23.692 eV for the cell shown
space group = C2/m
calculated density = 4.8 g cm⁻³
raw formation energy = 0.010 eV per atom

```
Al2CdSe
1.0
5.630 0.000 0.000
0.000 10.255 0.000
-2.512 0.000 2.924
Al Cd Se
4 2 2
Direct
0.250 0.250 0.000
0.250 0.750 0.000
0.750 0.250 0.000
0.750 0.750 0.000
0.000 0.000 0.500
0.500 0.500 0.500
0.000 0.500 0.500
0.500 0.000 0.500
```



(8)
DFT (PBE-GGA) results for a geometry-optimized KAgHgPd structure.

total energy = -19.812 eV for the cell shown
space group = Cm
calculated density = 6.5 g cm⁻³
energy of formation = -0.5 eV per formula unit

```
KAgHgPd
1.0
8.323 0.000 0.000
0.000 4.804 0.000
-2.751 0.000 5.786
K Ag Hg Pd
2 2 2 2
Direct
0.000 0.000 0.000
0.500 0.500 0.000
0.314 0.500 0.441
0.814 0.000 0.441
0.009 0.500 0.527
0.509 0.000 0.527
0.183 0.000 0.549
0.683 0.500 0.549
```